Record 1
A relaxed structure of KMn2Si, computed with PBE-GGA.

* spin magnetization: 2.2 μB per formula unit
* energy relative to the lowest polymorph listed for this composition: 78 meV per atom
* calculated volume: 70.50 Å³/cell

Structure (POSCAR):
```
KMn2Si
1.0
2.8489 0.0000 0.0000
0.0000 2.8489 0.0000
0.0000 0.0000 8.6858
K Mn Si
1 2 1
Direct
0.0000 0.0000 0.0000 K
0.0000 0.0000 0.5240 Mn
0.5000 0.5000 0.3659 Mn
0.5000 0.5000 0.7011 Si
```

Record 2
A relaxed structure of KMn2Si, computed with PBE-GGA.

* spin magnetization: 7.2 μB per formula unit
* energy relative to the lowest polymorph listed for this composition: 474 meV per atom
* calculated volume: 79.74 Å³/cell

Structure (POSCAR):
```
KMn2Si
1.0
-1.4239 2.6818 5.2205
1.4239 -2.6818 5.2205
1.4239 2.6818 -5.2205
K Mn Si
1 2 1
Direct
0.0000 0.0000 0.0000 K
0.3073 0.8072 0.5000 Mn
0.5259 0.5259 0.0000 Mn
0.7203 0.2203 0.5000 Si
```

Record 3
A relaxed structure of KMn2Si, computed with PBE-GGA.

* spin magnetization: 7.3 μB per formula unit
* energy relative to the lowest polymorph listed for this composition: 380 meV per atom
* calculated volume: 85.82 Å³/cell

Structure (POSCAR):
```
KMn2Si
1.0
-1.4342 2.8670 5.2175
1.4342 -2.8670 5.2175
1.4342 2.8670 -5.2175
K Mn Si
1 2 1
Direct
0.0000 0.0000 0.0000 K
0.3108 0.8108 0.5000 Mn
0.6892 0.1892 0.5000 Mn
0.5000 0.5000 0.0000 Si
```

Going through the records in order, we get DFT total energy values of -5.843 -5.447 -5.541 eV per atom.
Going through the records in order, we get ΔE_f (raw) values of 0.372 0.768 0.674 eV/atom.